1.
Computed, not measured: a relaxed CdSiAu2 crystal at the PBE level of DFT.

Geometry as CIF:
```
data_CdSiAu2
_chemical_formula_sum 'Cd2 Si2 Au4'
_symmetry_space_group_name_H-M 'C m m 2'
_symmetry_Int_Tables_number 35
_cell_length_a 2.953
_cell_length_b 5.035
_cell_length_c 10.234
_cell_angle_alpha 90.00
_cell_angle_beta 90.00
_cell_angle_gamma 90.00
loop_
_symmetry_equiv_pos_as_xyz
'x,y,z'
'-x,-y,z'
'-x,y,z'
'x,-y,z'
'x+1/2,y+1/2,z'
'-x+1/2,-y+1/2,z'
'-x+1/2,y+1/2,z'
'x+1/2,-y+1/2,z'
loop_
_atom_site_label
_atom_site_type_symbol
_atom_site_fract_x
_atom_site_fract_y
_atom_site_fract_z
Cd1 Cd 0.000 0.000 0.000
Si1 Si 0.000 0.500 0.717
Au1 Au 0.000 0.000 0.504
Au2 Au 0.000 0.500 0.255
```

Calculated values
E above lowest polymorph: 180.7 meV per atom
Formation energy from raw total energies: 183 meV/atom


2.
Computed, not measured: a relaxed Tl2SbAu2 crystal at the PBE level of DFT.

Geometry as CIF:
```
data_Tl2SbAu2
_chemical_formula_sum 'Tl4 Sb2 Au4'
_symmetry_space_group_name_H-M 'I 4/m m m'
_symmetry_Int_Tables_number 139
_symmetry_space_group_name_Hall '-I 4 2'
_cell_length_a 3.869
_cell_length_b 3.869
_cell_length_c 17.804
_cell_angle_alpha 90.00
_cell_angle_beta 90.00
_cell_angle_gamma 90.00
loop_
_atom_site_label
_atom_site_type_symbol
_atom_site_fract_x
_atom_site_fract_y
_atom_site_fract_z
Tl1 Tl 0.000 0.000 0.108
Sb1 Sb 0.000 0.000 0.500
Au1 Au 0.000 0.500 0.250
```

Calculated values
E above lowest polymorph: 143.4 meV per atom
Formation energy from raw total energies: 84 meV/atom


3.
Computed, not measured: a relaxed CaTl2Co crystal at the PBE level of DFT.

Geometry as CIF:
```
data_CaTl2Co
_chemical_formula_sum 'Ca2 Tl4 Co2'
_symmetry_space_group_name_H-M 'I m m m'
_symmetry_Int_Tables_number 71
_symmetry_space_group_name_Hall '-I 2 2'
_cell_length_a 3.669
_cell_length_b 5.349
_cell_length_c 9.638
_cell_angle_alpha 90.00
_cell_angle_beta 90.00
_cell_angle_gamma 90.00
loop_
_atom_site_label
_atom_site_type_symbol
_atom_site_fract_x
_atom_site_fract_y
_atom_site_fract_z
Ca1 Ca 0.000 0.000 0.000
Tl1 Tl 0.000 0.500 0.211
Co1 Co 0.000 0.000 0.500
```

Calculated values
Formation energy: 0.13 eV/atom


> What is the formula in the third record?

CaTl2Co